(a)
Here is an optimized crystal structure of PSeCl2 from Alexandria. Energies are from PBE.

Unit cell a=9.3455 b=9.3455 c=9.3455 alpha=19.86 beta=19.86 gamma=19.86
Last column: nearest neighbours and their distance in Å.
Fractional positions:
1 Cl 0.9107 0.9107 0.9107  1 Se 2.45
2 Cl 0.0893 0.0893 0.0893  1 Se 2.45
3 P 0.5000 0.5000 0.5000  6 Cl 2.82
4 Se 0.0000 0.0000 0.0000  2 Cl 2.45

Results
Density of states at the Fermi level = 2.20 states/eV per cell

(b)
Here is an optimized crystal structure of PSeCl2 from Alexandria. Energies are from PBE.

Unit cell a=7.4381 b=7.4381 c=7.4381 alpha=153.57 beta=145.92 gamma=43.64
Last column: nearest neighbours and their distance in Å.
Fractional positions:
1 P 0.5620 0.5620 0.0000  2 Se 2.37
2 Cl 0.0044 0.0044 0.0000  4 P 2.88
3 Cl 0.2517 0.7517 0.5000  4 Se 2.93
4 Se 0.6819 0.1819 0.5000  2 P 2.37

Results
Density of states at the Fermi level = 2.36 states/eV per cell

(c)
Here is an optimized crystal structure of PSeCl2 from Alexandria. Energies are from PBE.

Unit cell a=3.1425 b=5.9383 c=4.3187 alpha=90.00 beta=90.00 gamma=90.00
Last column: nearest neighbours and their distance in Å.
Fractional positions:
1 Se 0.0000 0.5000 0.5000  4 Cl 2.67
2 P 0.5000 0.0000 0.5000  4 Cl 2.67
3 Cl 0.0000 0.0000 0.0000  4 P 2.67
4 Cl 0.5000 0.5000 0.0000  4 Se 2.67

Results
Density of states at the Fermi level = 2.13 states/eV per cell

(d)
Here is an optimized crystal structure of PSeCl2 from Alexandria. Energies are from PBE.

Unit cell a=3.2621 b=7.0850 c=7.0837 alpha=41.74 beta=90.00 gamma=90.00
Last column: nearest neighbours and their distance in Å.
Fractional positions:
1 Cl 0.0000 0.1189 0.1189  2 P 2.38
2 Cl 0.0000 0.3811 0.3811  2 P 2.38
3 Se 0.5000 0.7500 0.7500  2 P 2.52
4 P 0.5000 0.2500 0.2500  4 Cl 2.38, 2 Se 2.52

Results
Density of states at the Fermi level = 1.10 states/eV per cell

Most stable: (d)

(a)
Here is an optimized crystal structure of PSeCl2 from Alexandria. Energies are from PBE.

Unit cell a=10.4818 b=10.4818 c=10.4818 alpha=17.05 beta=17.05 gamma=17.05
Last column: nearest neighbours and their distance in Å.
Fractional positions:
1 Se 0.5000 0.5000 0.5000  6 Se 3.11
2 Cl 0.0684 0.0684 0.0684  1 P 2.12
3 Cl 0.9316 0.9316 0.9316  1 P 2.12
4 P 0.0000 0.0000 0.0000  2 Cl 2.12

Results
Density of states at the Fermi level = 2.48 states/eV per cell

(b)
Here is an optimized crystal structure of PSeCl2 from Alexandria. Energies are from PBE.

Unit cell a=3.5018 b=5.4671 c=6.3393 alpha=89.08 beta=90.00 gamma=90.00
Last column: nearest neighbours and their distance in Å.
Fractional positions:
1 Cl 0.0000 0.3235 0.8969  1 P 2.06
2 Cl 0.5000 0.0337 0.4557  2 Se 2.66-2.81
3 P 0.0000 0.6222 0.6945  1 Cl 2.06
4 Se 0.5000 0.5206 0.4528  2 P 2.40, 1 Cl 2.66

Results
Density of states at the Fermi level = 0.93 states/eV per cell

(c)
Here is an optimized crystal structure of PSeCl2 from Alexandria. Energies are from PBE.

Unit cell a=2.9764 b=2.9764 c=10.6308 alpha=90.00 beta=90.00 gamma=90.00
Last column: nearest neighbours and their distance in Å.
Fractional positions:
1 Cl 0.0000 0.0000 0.4041  4 P 2.67, 4 Cl 2.98
2 Cl 0.0000 0.0000 0.0959  4 P 2.67, 4 Cl 2.98
3 P 0.5000 0.5000 0.2500  8 Cl 2.67, 4 P 2.98
4 Se 0.5000 0.5000 0.7500  4 Se 2.98

Results
Density of states at the Fermi level = 1.67 states/eV per cell

Most stable: (b)

(a)
Here is an optimized crystal structure of PSeCl2 from Alexandria. Energies are from PBE.

Unit cell a=4.8145 b=4.8145 c=4.8145 alpha=60.00 beta=60.00 gamma=60.00
Last column: nearest neighbours and their distance in Å.
Fractional positions:
1 Cl 0.2500 0.2500 0.2500  4 Se 2.95, 4 P 2.95
2 Cl 0.7500 0.7500 0.7500  4 Se 2.95, 4 P 2.95
3 P 0.0000 0.0000 0.0000  8 Cl 2.95
4 Se 0.5000 0.5000 0.5000  8 Cl 2.95

Results
Density of states at the Fermi level = 2.53 states/eV per cell

(b)
Here is an optimized crystal structure of PSeCl2 from Alexandria. Energies are from PBE.

Unit cell a=5.9545 b=5.9545 c=5.9738 alpha=88.61 beta=88.61 gamma=41.12
Last column: nearest neighbours and their distance in Å.
Fractional positions:
1 Se 0.1575 0.1575 0.2994  1 Cl 2.23, 2 P 2.43
2 Cl 0.7511 0.7511 0.6496  1 P 2.09
3 Cl 0.9986 0.9986 0.0800  1 Se 2.23
4 P 0.5928 0.5928 0.4710  1 Cl 2.09

Results
Density of states at the Fermi level = 1.34 states/eV per cell

(c)
Here is an optimized crystal structure of PSeCl2 from Alexandria. Energies are from PBE.

Unit cell a=5.2760 b=5.2760 c=8.6466 alpha=90.00 beta=90.00 gamma=143.12
Last column: nearest neighbours and their distance in Å.
Fractional positions:
1 Se 0.5000 0.5000 0.7088  2 P 2.30
2 Cl 0.5000 0.5000 0.3090  2 P 2.51
3 Cl 0.0000 0.0000 0.9568  2 Se 2.72
4 P 0.0000 0.0000 0.5255  2 Se 2.30, 2 Cl 2.51

Results
Density of states at the Fermi level = 2.64 states/eV per cell

(d)
Here is an optimized crystal structure of PSeCl2 from Alexandria. Energies are from PBE.

Unit cell a=5.1908 b=5.1908 c=3.0240 alpha=90.00 beta=90.00 gamma=109.06
Last column: nearest neighbours and their distance in Å.
Fractional positions:
1 Se 0.0000 0.5000 0.5000  8 Cl 3.00, 2 P 3.01, 2 Se 3.02
2 Cl 0.0000 0.0000 0.0000  4 Se 3.00, 4 P 3.00, 4 Cl 3.01-3.02
3 Cl 0.5000 0.5000 0.0000  4 P 3.00, 4 Se 3.00, 4 Cl 3.01-3.02
4 P 0.5000 0.0000 0.5000  8 Cl 3.00, 2 Se 3.01, 2 P 3.02

Results
Density of states at the Fermi level = 3.86 states/eV per cell

Most stable: (b)

(a)
Here is an optimized crystal structure of PSeCl2 from Alexandria. Energies are from PBE.

Unit cell a=7.4535 b=7.4535 c=7.4535 alpha=156.02 beta=139.15 gamma=47.92
Last column: nearest neighbours and their distance in Å.
Fractional positions:
1 P 0.2500 0.7500 0.5000  4 Cl 2.43
2 Se 0.7500 0.2500 0.5000  4 P 3.03, 2 Se 3.10, 4 Cl 3.21
3 Cl 0.3878 0.3878 0.0000  2 P 2.43
4 Cl 0.1122 0.1122 0.0000  2 P 2.43

Results
Density of states at the Fermi level = 2.20 states/eV per cell

(b)
Here is an optimized crystal structure of PSeCl2 from Alexandria. Energies are from PBE.

Unit cell a=5.2609 b=5.2609 c=4.4099 alpha=66.38 beta=66.38 gamma=108.96
Last column: nearest neighbours and their distance in Å.
Fractional positions:
1 Cl 0.0000 0.0000 0.0000  2 Se 2.67, 2 P 2.67
2 Cl 0.5000 0.5000 0.0000  2 P 2.67, 2 Se 2.67
3 Se 0.0000 0.5000 0.5000  4 Cl 2.67
4 P 0.5000 0.0000 0.5000  4 Cl 2.67

Results
Density of states at the Fermi level = 1.96 states/eV per cell

(c)
Here is an optimized crystal structure of PSeCl2 from Alexandria. Energies are from PBE.

Unit cell a=8.8191 b=8.8191 c=8.8191 alpha=23.24 beta=23.24 gamma=23.24
Last column: nearest neighbours and their distance in Å.
Fractional positions:
1 Cl 0.9726 0.9726 0.9726  3 P 2.51
2 Cl 0.5274 0.5274 0.5274  3 P 2.51
3 P 0.2500 0.2500 0.2500  6 Cl 2.51
4 Se 0.7500 0.7500 0.7500  6 Cl 3.51, 6 Se 3.55

Results
Density of states at the Fermi level = 2.01 states/eV per cell

(d)
Here is an optimized crystal structure of PSeCl2 from Alexandria. Energies are from PBE.

Unit cell a=4.2884 b=4.2884 c=9.5048 alpha=76.96 beta=76.96 gamma=90.00
Last column: nearest neighbours and their distance in Å.
Fractional positions:
1 Cl 0.1356 0.6250 0.2500  2 P 2.70, 2 Se 2.73, 2 Cl 2.97
2 Cl 0.8750 0.8644 0.7500  2 P 2.70, 2 Se 2.73, 2 Cl 2.97
3 Cl 0.3750 0.3856 0.7500  2 P 2.70, 2 Se 2.73, 2 Cl 2.97
4 Cl 0.6144 0.1250 0.2500  2 P 2.70, 2 Se 2.73, 2 Cl 2.97
5 Se 0.0000 0.0000 0.0000  4 Cl 2.73, 4 P 3.03
6 Se 0.7500 0.2500 0.5000  4 Cl 2.73, 4 P 3.03
7 P 0.5000 0.5000 0.0000  4 Cl 2.70
8 P 0.2500 0.7500 0.5000  4 Cl 2.70

Results
Density of states at the Fermi level = 4.43 states/eV per cell

Most stable: (a)

(a)
Here is an optimized crystal structure of PSeCl3 from Alexandria. Energies are from PBE.

Unit cell a=6.5756 b=6.6929 c=9.0255 alpha=90.39 beta=89.84 gamma=89.52
Last column: nearest neighbours and their distance in Å.
Fractional positions:
1 Cl 0.6135 0.9662 0.4735  1 P 2.04
2 Cl 0.5194 0.4701 0.7985  1 P 2.03
3 Cl 0.0210 0.8764 0.2985  1 P 2.03
4 Cl 0.1117 0.3914 0.6242  1 P 2.04
5 Cl 0.6144 0.9597 0.1232  1 P 2.04
6 Cl 0.1121 0.3929 0.9746  1 P 2.04
7 Se 0.1548 0.8520 0.8006  1 P 2.06
8 Se 0.6547 0.5023 0.3006  1 P 2.06
9 P 0.7218 0.8021 0.2991  3 Cl 2.03-2.04, 1 Se 2.06
10 P 0.2204 0.5508 0.7995  3 Cl 2.03-2.04, 1 Se 2.06

Results
Density of states at the Fermi level = 0.00 states/eV per cell

(b)
Here is an optimized crystal structure of PSeCl3 from Alexandria. Energies are from PBE.

Unit cell a=4.8980 b=4.8980 c=4.8980 alpha=90.00 beta=90.00 gamma=90.00
Last column: nearest neighbours and their distance in Å.
Fractional positions:
1 Se 0.5000 0.5000 0.5000  12 Cl 3.46
2 P 0.0000 0.0000 0.0000  6 Cl 2.45
3 Cl 0.5000 0.0000 0.0000  2 P 2.45
4 Cl 0.0000 0.5000 0.0000  2 P 2.45
5 Cl 0.0000 0.0000 0.5000  2 P 2.45

Results
Density of states at the Fermi level = 3.04 states/eV per cell

Most stable: (a)

(a)
Here is an optimized crystal structure of P2SeCl from Alexandria. Energies are from PBE.

Unit cell a=3.3910 b=4.5635 c=4.5635 alpha=90.00 beta=90.00 gamma=90.00
Last column: nearest neighbours and their distance in Å.
Fractional positions:
1 P 0.0000 0.5000 0.5000  4 Cl 2.84, 4 Se 2.84
2 P 0.0000 0.0000 0.0000  4 Cl 2.84, 4 Se 2.84
3 Cl 0.5000 0.0000 0.5000  8 P 2.84
4 Se 0.5000 0.5000 0.0000  8 P 2.84

Results
Density of states at the Fermi level = 3.46 states/eV per cell

(b)
Here is an optimized crystal structure of P2SeCl from Alexandria. Energies are from PBE.

Unit cell a=3.8571 b=2.7759 c=7.7872 alpha=111.25 beta=90.00 gamma=90.00
Last column: nearest neighbours and their distance in Å.
Fractional positions:
1 P 0.0000 0.4974 0.4967  2 Se 2.63, 2 Cl 2.66, 2 P 2.78
2 P 0.0000 0.0026 0.0033  2 Se 2.63, 2 Cl 2.66, 2 P 2.78
3 Cl 0.5000 0.7500 0.7500  4 P 2.66, 2 Cl 2.78
4 Se 0.5000 0.2500 0.2500  4 P 2.63, 2 Se 2.78

Results
Density of states at the Fermi level = 1.85 states/eV per cell

(c)
Here is an optimized crystal structure of P2SeCl from Alexandria. Energies are from PBE.

Unit cell a=4.6380 b=4.6380 c=4.6380 alpha=60.00 beta=60.00 gamma=60.00
Last column: nearest neighbours and their distance in Å.
Fractional positions:
1 Cl 0.0000 0.0000 0.0000  8 P 2.84
2 P 0.7500 0.7500 0.7500  4 Cl 2.84, 4 Se 2.84
3 P 0.2500 0.2500 0.2500  4 Cl 2.84, 4 Se 2.84
4 Se 0.5000 0.5000 0.5000  8 P 2.84

Results
Density of states at the Fermi level = 2.66 states/eV per cell

(d)
Here is an optimized crystal structure of P2SeCl from Alexandria. Energies are from PBE.

Unit cell a=4.8586 b=4.8586 c=8.2663 alpha=90.00 beta=90.00 gamma=139.18
Last column: nearest neighbours and their distance in Å.
Fractional positions:
1 Cl 0.5000 0.5000 0.8334  2 P 2.40
2 Se 0.0000 0.0000 0.4124  2 P 2.35
3 P 0.5000 0.5000 0.2159  2 P 2.24, 2 Se 2.35
4 P 0.0000 0.0000 0.0384  2 P 2.24, 2 Cl 2.40

Results
Density of states at the Fermi level = 0.69 states/eV per cell

Most stable: (d)

(a)
Here is an optimized crystal structure of PSe2Cl from Alexandria. Energies are from PBE.

Unit cell a=8.3532 b=8.3532 c=8.3532 alpha=25.25 beta=25.25 gamma=25.25
Last column: nearest neighbours and their distance in Å.
Fractional positions:
1 P 0.5000 0.5000 0.5000  6 Se 2.60
2 Se 0.1039 0.1039 0.1039  1 Cl 2.52, 3 P 2.60
3 Se 0.8961 0.8961 0.8961  1 Cl 2.52, 3 P 2.60
4 Cl 0.0000 0.0000 0.0000  2 Se 2.52

Results
Density of states at the Fermi level = 1.07 states/eV per cell

(b)
Here is an optimized crystal structure of PSe2Cl from Alexandria. Energies are from PBE.

Unit cell a=3.7356 b=5.2359 c=6.1856 alpha=50.67 beta=90.00 gamma=90.00
Last column: nearest neighbours and their distance in Å.
Fractional positions:
1 Se 0.0000 0.5416 0.5939  1 Se 2.36, 2 P 2.64
2 Se 0.0000 0.9584 0.9061  1 Se 2.36, 2 P 2.64
3 Cl 0.5000 0.2500 0.2500  2 P 2.48
4 P 0.5000 0.7500 0.7500  2 Cl 2.48, 4 Se 2.64

Results
Density of states at the Fermi level = 0.80 states/eV per cell

Most stable: (b)

(a)
Here is an optimized crystal structure of PSe2Cl from Alexandria. Energies are from PBE.

Unit cell a=3.0209 b=3.0209 c=11.2007 alpha=90.00 beta=90.00 gamma=90.00
Last column: nearest neighbours and their distance in Å.
Fractional positions:
1 Se 0.0000 0.0000 0.9093  4 P 2.47
2 Se 0.5000 0.5000 0.2169  4 Se 3.02
3 P 0.5000 0.5000 0.7984  4 Se 2.47
4 Cl 0.0000 0.0000 0.5754  4 Cl 3.02, 4 P 3.29

Results
Density of states at the Fermi level = 2.75 states/eV per cell

(b)
Here is an optimized crystal structure of PSe2Cl from Alexandria. Energies are from PBE.

Unit cell a=3.7206 b=3.7230 c=7.4123 alpha=90.00 beta=90.00 gamma=90.00
Last column: nearest neighbours and their distance in Å.
Fractional positions:
1 Cl 0.5000 0.0000 0.5000  4 P 2.63
2 Se 0.0000 0.0000 0.0000  4 Se 2.63
3 Se 0.5000 0.5000 0.0000  4 Se 2.63
4 P 0.0000 0.5000 0.5000  4 Cl 2.63

Results
Density of states at the Fermi level = 2.80 states/eV per cell

(c)
Here is an optimized crystal structure of PSe2Cl from Alexandria. Energies are from PBE.

Unit cell a=8.4903 b=8.4903 c=2.5908 alpha=90.00 beta=90.00 gamma=144.49
Last column: nearest neighbours and their distance in Å.
Fractional positions:
1 Se 0.5000 0.5000 0.0000  4 Se 2.59
2 Se 0.0000 0.0000 0.0000  4 Se 2.59
3 Cl 0.5000 0.0000 0.5000  2 P 2.59, 2 Cl 2.59
4 P 0.0000 0.5000 0.5000  2 Cl 2.59, 2 P 2.59

Results
Density of states at the Fermi level = 2.30 states/eV per cell

Most stable: (c)

(a)
Here is an optimized crystal structure of TaPSeCl2 from Alexandria. Energies are from PBE.

Unit cell a=4.6652 b=4.6652 c=5.1833 alpha=90.00 beta=90.00 gamma=90.00
Last column: nearest neighbours and their distance in Å.
Fractional positions:
1 Ta 0.0000 0.0000 0.0000  4 Cl 2.33, 2 P 2.59
2 Cl 0.5000 0.0000 0.0000  2 Ta 2.33
3 Cl 0.0000 0.5000 0.0000  2 Ta 2.33
4 Se 0.5000 0.5000 0.5000  4 P 3.30, 8 Cl 3.49
5 P 0.0000 0.0000 0.5000  2 Ta 2.59

Results
Density of states at the Fermi level = 5.16 states/eV per cell

(b)
Here is an optimized crystal structure of TaPSeCl2 from Alexandria. Energies are from PBE.

Unit cell a=4.6070 b=4.6070 c=5.6382 alpha=90.00 beta=90.00 gamma=90.00
Last column: nearest neighbours and their distance in Å.
Fractional positions:
1 Ta 0.5000 0.5000 0.5000  4 P 3.26, 8 Cl 3.64
2 Cl 0.0000 0.5000 0.0000  2 Se 2.30
3 Cl 0.5000 0.0000 0.0000  2 Se 2.30
4 P 0.0000 0.0000 0.5000  2 Se 2.82
5 Se 0.0000 0.0000 0.0000  4 Cl 2.30

Results
Density of states at the Fermi level = 5.81 states/eV per cell

Most stable: (a)

(a)
Here is an optimized crystal structure of TcPSeCl2 from Alexandria. Energies are from PBE.

Unit cell a=4.7959 b=4.7959 c=5.2933 alpha=90.00 beta=90.00 gamma=90.00
Last column: nearest neighbours and their distance in Å.
Fractional positions:
1 Cl 0.0000 0.5000 0.0000  2 Se 2.40
2 Cl 0.5000 0.0000 0.0000  2 Se 2.40
3 P 0.0000 0.0000 0.5000  2 Se 2.65
4 Se 0.0000 0.0000 0.0000  4 Cl 2.40, 2 P 2.65
5 Tc 0.5000 0.5000 0.5000  4 P 3.39, 8 Cl 3.57

Results
Density of states at the Fermi level = 2.23 states/eV per cell

(b)
Here is an optimized crystal structure of TcPSeCl2 from Alexandria. Energies are from PBE.

Unit cell a=4.6557 b=4.6557 c=4.7912 alpha=90.00 beta=90.00 gamma=90.00
Last column: nearest neighbours and their distance in Å.
Fractional positions:
1 Se 0.5000 0.5000 0.5000  4 P 3.29, 8 Cl 3.34
2 Cl 0.5000 0.0000 0.0000  2 Tc 2.33
3 Cl 0.0000 0.5000 0.0000  2 Tc 2.33
4 Tc 0.0000 0.0000 0.0000  4 Cl 2.33, 2 P 2.40
5 P 0.0000 0.0000 0.5000  2 Tc 2.40

Results
Density of states at the Fermi level = 4.84 states/eV per cell

Most stable: (b)